Below is TbPu3P4 after structural relaxation, with properties calculated at the PBE level.

Summary:
- spin magnetization (μB/f.u.) = 14.83
- SG = No. 221
- energy of formation (eV per atom) = -1.262

Cell lengths 5.6595, 5.6595, 5.6595 Å; angles 90.00, 90.00, 90.00 degrees
Fractional coordinates of all 8 atoms:
1 Tb 0.0000 0.0000 0.0000
2 Pu 0.0000 0.5000 0.5000
3 Pu 0.5000 0.0000 0.5000
4 Pu 0.5000 0.5000 0.0000
5 P 0.0000 0.0000 0.5000
6 P 0.0000 0.5000 0.0000
7 P 0.5000 0.0000 0.0000
8 P 0.5000 0.5000 0.5000